## w
First-principles (PBE with a Hubbard U) data for a relaxed KNiF crystal, as listed in the Alexandria database.

The structure belongs to space group P4/mmm (No. 123); the cell edges are 3.7306, 3.7306 and 4.3829 Å and the angles 90.00°, 90.00° and 90.00°. The distinct sites, in fractional coordinates, are K at (0.0000, 0.0000, 0.0000), Ni at (0.5000, 0.5000, 0.5000) and F at (0.5000, 0.5000, 0.0000).

Its density is 3.18 g/cm³.

=====

## x
First-principles (PBE with a Hubbard U) data for a relaxed KNiF crystal, as listed in the Alexandria database.

The structure belongs to space group P1 (No. 1); the cell edges are 3.2747, 3.5549 and 9.7219 Å and the angles 90.52°, 99.61° and 90.00°. The distinct sites, in fractional coordinates, are K at (0.0000, 0.0000, 0.0000), K at (0.1664, 0.5059, 0.3372), Ni at (0.3514, 0.5124, 0.7110), Ni at (0.8160, 0.0111, 0.6384), F at (0.5521, 0.5021, 0.1049) and F at (0.7112, 0.0080, 0.4278).

Its density is 3.48 g/cm³.

=====

## y
First-principles (PBE with a Hubbard U) data for a relaxed KNiF crystal, as listed in the Alexandria database.

The structure belongs to space group Cmcm (No. 63); the cell edges are 3.3445, 12.5435 and 6.0796 Å and the angles 90.00°, 90.00° and 90.00°. The distinct sites, in fractional coordinates, are K at (0.0000, 0.1071, 0.2500), Ni at (0.0000, 0.3737, 0.2500) and F at (0.0000, 0.5000, 0.0000).

Its density is 3.04 g/cm³.

=====

## z
First-principles (PBE with a Hubbard U) data for a relaxed KNiF crystal, as listed in the Alexandria database.

The structure belongs to space group P2_1 (No. 4); the cell edges are 3.6427, 3.5777 and 8.2655 Å and the angles 90.00°, 90.13° and 90.00°. The distinct sites, in fractional coordinates, are K at (0.2491, 0.0000, 0.1649), Ni at (0.2502, 0.0015, 0.5512) and F at (0.2510, 0.9999, 0.8282).

Its density is 3.60 g/cm³.

=====

Here is how they stack up, most stable first: x, z, w, y.

=====

## w
First-principles (PBE with a Hubbard U) data for a relaxed K2Ni2F crystal, as listed in the Alexandria database.

The structure belongs to space group I4/mmm (No. 139); the cell edges are 6.4072, 6.4072 and 6.3689 Å and the angles 90.00°, 90.00° and 90.00°. The distinct sites, in fractional coordinates, are K at (0.0000, 0.5000, 0.2500), Ni at (0.0000, 0.0000, 0.1696) and F at (0.0000, 0.0000, 0.5000).

Its density is 2.73 g/cm³.

=====

## x
First-principles (PBE with a Hubbard U) data for a relaxed K2Ni2F crystal, as listed in the Alexandria database.

The structure belongs to space group P4/mbm (No. 127); the cell edges are 8.4504, 8.4504 and 3.8009 Å and the angles 90.00°, 90.00° and 90.00°. The distinct sites, in fractional coordinates, are K at (0.2013, 0.2987, 0.0000), Ni at (0.0909, 0.5909, 0.5000) and F at (0.0000, 0.0000, 0.5000).

Its density is 2.63 g/cm³.

=====

Here is how they stack up, most stable first: w, x.